Model 1:
Compound: Fe2RuAu
Source: Alexandria
Functional: PBE-GGA
Structure: optimized geometry

a b c (Å): 4.3352 4.3352 4.3352
angles (deg): 60.00 60.00 60.00
With the nearest neighbours (Å) after each atom.
Fractional positions:
Fe 0.2500 0.2500 0.2500  4 Ru 2.65, 4 Au 2.65
Fe 0.7500 0.7500 0.7500  4 Ru 2.65, 4 Au 2.65
Ru 0.0000 0.0000 0.0000  8 Fe 2.65
Au 0.5000 0.5000 0.5000  8 Fe 2.65

Computed properties:
D(E_F): 1.3094 states/eV/atom

Model 2:
Compound: Fe2RuAu
Source: Alexandria
Functional: PBE-GGA
Structure: optimized geometry

a b c (Å): 8.7635 8.7635 8.7635
angles (deg): 18.14 18.14 18.14
With the nearest neighbours (Å) after each atom.
Fractional positions:
Fe 0.0000 0.0000 0.0000  9 Fe 2.48-2.76, 3 Au 2.77
Fe 0.2597 0.2597 0.2597  9 Fe 2.48-2.76, 3 Ru 2.55
Ru 0.5163 0.5163 0.5163  3 Fe 2.55, 6 Ru 2.76
Au 0.7544 0.7544 0.7544  6 Au 2.76, 3 Fe 2.77, 3 Ru 2.93

Computed properties:
D(E_F): 0.9099 states/eV/atom

Model 3:
Compound: Fe2RuAu
Source: Alexandria
Functional: PBE-GGA
Structure: optimized geometry

a b c (Å): 2.7542 3.5763 5.6824
angles (deg): 90.00 90.00 90.00
With the nearest neighbours (Å) after each atom.
Fractional positions:
Fe 0.0000 0.0000 0.0000  1 Ru 2.45, 4 Fe 2.61, 4 Au 2.72
Fe 0.5000 0.5000 0.2308  4 Ru 2.53, 6 Fe 2.61-2.75, 1 Au 2.82
Ru 0.0000 0.0000 0.4310  5 Fe 2.45-2.53
Au 0.5000 0.5000 0.7337  6 Fe 2.72-2.86, 2 Au 2.75, 4 Ru 2.84

Computed properties:
D(E_F): 0.9587 states/eV/atom

Short version: model 3 is the most stable of them.